Record 1
A plane-wave DFT calculation with GGA-PBE was carried out for crystalline Ce4RhBr5 at its relaxed geometry.

Calculated values
offset from the most stable computed form: 0 meV/atom
formation energy from raw total energies: -1.370 eV per atom
VASP energy: -5.315 eV per atom

Cell and atoms, written as POSCAR:
```
Ce4RhBr5
1.0
-3.206 -0.402 2.301
-4.984 -0.828 -7.089
3.852 -8.620 0.441
Br Ce Rh
5 4 1
direct
0.500 0.500 0.000
0.835 0.206 0.669
0.168 0.325 0.336
0.832 0.675 0.664
0.165 0.794 0.331
0.334 0.939 0.668
0.666 0.061 0.332
0.997 0.782 0.994
0.003 0.218 0.006
0.500 0.000 0.000
```

Record 2
A plane-wave DFT calculation with GGA-PBE was carried out for crystalline Ce4RhBr5 at its relaxed geometry.

Calculated values
offset from the most stable computed form: 36 meV/atom
formation energy from raw total energies: -1.333 eV per atom
VASP energy: -5.279 eV per atom

Cell and atoms, written as POSCAR:
```
Ce4RhBr5
1.0
3.876 0.000 -0.967
-0.423 7.520 -1.696
0.579 0.524 10.573
Br Ce Rh
5 4 1
direct
0.163 0.586 0.326
0.500 0.500 0.000
0.837 0.414 0.674
0.182 0.093 0.364
0.818 0.907 0.636
0.615 0.292 0.230
0.055 0.831 0.111
0.945 0.169 0.889
0.385 0.708 0.770
0.500 0.000 0.000
```

Record 3
A plane-wave DFT calculation with GGA-PBE was carried out for crystalline Ce3RhBr3 at its relaxed geometry.

Calculated values
formation energy from raw total energies: -1.263 eV per atom
VASP energy: -5.573 eV per atom

Cell and atoms, written as POSCAR:
```
Ce3RhBr3
1.0
4.042 0.000 0.000
0.000 8.898 -0.255
0.000 0.265 11.924
Rh Ce Br
2 6 6
direct
0.750 0.114 0.628
0.250 0.886 0.372
0.750 0.096 0.869
0.750 0.674 0.370
0.250 0.326 0.630
0.250 0.904 0.131
0.250 0.895 0.614
0.750 0.105 0.386
0.750 0.606 0.629
0.250 0.836 0.875
0.250 0.394 0.371
0.750 0.648 0.119
0.250 0.352 0.881
0.750 0.164 0.125
```